Record 1
A geometry-optimized LuSnPb2 structure. Source: Alexandria via LeMat-Bulk, functional PBE.

a b c (Å): 3.4676 3.4676 12.0849
angles (deg): 81.75 81.75 60.00
Last column: nearest neighbours and their distance in Å.
Fractional positions:
Pb (0.9120, 0.9120, 0.2641)  1 Lu 3.15, 3 Sn 3.45, 6 Pb 3.47
Pb (0.0880, 0.0880, 0.7359)  1 Lu 3.15, 3 Sn 3.45, 6 Pb 3.47
Lu (0.0000, 0.0000, 0.0000)  2 Pb 3.15, 6 Lu 3.47
Sn (0.5000, 0.5000, 0.5000)  6 Pb 3.45, 6 Sn 3.47

Properties
**Energy relative to the elements**: 0.139 eV per atom
**Space group**: R-3m
**Uncorrected energy**: -3.85 eV/atom
**Offset from the most stable computed form**: 0.359 eV/atom



Record 2
A geometry-optimized LuSnPb2 structure. Source: Alexandria via LeMat-Bulk, functional PBE.

a b c (Å): 4.1751 4.1751 6.4722
angles (deg): 90.00 90.00 90.00
Last column: nearest neighbours and their distance in Å.
Fractional positions:
Lu (0.5000, 0.5000, 0.5000)  2 Sn 3.24, 8 Pb 3.35
Pb (0.0000, 0.0000, 0.2539)  2 Pb 3.19-3.29, 4 Lu 3.35, 4 Sn 3.38
Pb (0.0000, 0.0000, 0.7461)  2 Pb 3.19-3.29, 4 Lu 3.35, 4 Sn 3.38
Sn (0.5000, 0.5000, 0.0000)  2 Lu 3.24, 8 Pb 3.38

Properties
**Energy relative to the elements**: -0.161 eV per atom
**Space group**: P4/mmm
**Uncorrected energy**: -4.15 eV/atom
**Offset from the most stable computed form**: 0.059 eV/atom



Record 3
A geometry-optimized SrLuSnPb structure. Source: Alexandria via LeMat-Bulk, functional PBE.

a b c (Å): 5.5379 5.5379 5.5379
angles (deg): 60.00 60.00 60.00
Last column: nearest neighbours and their distance in Å.
Fractional positions:
Lu (0.2500, 0.2500, 0.2500)  4 Sn 3.39, 4 Pb 3.39
Sr (0.7500, 0.7500, 0.7500)  4 Sn 3.39, 4 Pb 3.39
Sn (0.5000, 0.5000, 0.5000)  4 Sr 3.39, 4 Lu 3.39
Pb (0.0000, 0.0000, 0.0000)  4 Sr 3.39, 4 Lu 3.39

Properties
**Energy relative to the elements**: -0.399 eV per atom
**Space group**: F-43m
**Uncorrected energy**: -3.88 eV/atom



Record 4
A geometry-optimized LuThSnPb structure. Source: Alexandria via LeMat-Bulk, functional PBE.

a b c (Å): 5.4303 5.4303 5.4303
angles (deg): 60.00 60.00 60.00
Last column: nearest neighbours and their distance in Å.
Fractional positions:
Lu (0.5000, 0.5000, 0.5000)  4 Pb 3.33, 4 Sn 3.33
Pb (0.7500, 0.7500, 0.7500)  4 Lu 3.33, 4 Th 3.33
Th (0.0000, 0.0000, 0.0000)  4 Pb 3.33, 4 Sn 3.33
Sn (0.2500, 0.2500, 0.2500)  4 Th 3.33, 4 Lu 3.33

Properties
**Energy relative to the elements**: -0.312 eV per atom
**Space group**: F-43m
**Uncorrected energy**: -5.23 eV/atom



Record 5
A geometry-optimized TmLuSnPb structure. Source: Alexandria via LeMat-Bulk, functional PBE.

a b c (Å): 5.3406 5.3406 5.3406
angles (deg): 60.00 60.00 60.00
Last column: nearest neighbours and their distance in Å.
Fractional positions:
Sn (0.5000, 0.5000, 0.5000)  4 Tm 3.27, 4 Lu 3.27
Tm (0.2500, 0.2500, 0.2500)  4 Pb 3.27, 4 Sn 3.27
Pb (0.0000, 0.0000, 0.0000)  4 Tm 3.27, 4 Lu 3.27
Lu (0.7500, 0.7500, 0.7500)  4 Pb 3.27, 4 Sn 3.27

Properties
**Energy relative to the elements**: -0.396 eV per atom
**Space group**: F-43m
**Uncorrected energy**: -4.57 eV/atom



Record 6
A geometry-optimized YLuSnPb structure. Source: Alexandria via LeMat-Bulk, functional PBE.

a b c (Å): 5.3725 5.3725 5.3725
angles (deg): 60.00 60.00 60.00
Last column: nearest neighbours and their distance in Å.
Fractional positions:
Sn (0.7500, 0.7500, 0.7500)  4 Y 3.29, 4 Lu 3.29
Lu (0.0000, 0.0000, 0.0000)  4 Sn 3.29, 4 Pb 3.29
Y (0.5000, 0.5000, 0.5000)  4 Sn 3.29, 4 Pb 3.29
Pb (0.2500, 0.2500, 0.2500)  4 Lu 3.29, 4 Y 3.29

Properties
**Energy relative to the elements**: -0.431 eV per atom
**Space group**: F-43m
**Uncorrected energy**: -5.10 eV/atom



Record 7
A geometry-optimized SrLuPb2 structure. Source: Alexandria via LeMat-Bulk, functional PBE.

a b c (Å): 4.0347 4.0347 7.6552
angles (deg): 90.00 90.00 90.00
Last column: nearest neighbours and their distance in Å.
Fractional positions:
Lu (0.5000, 0.5000, 0.0000)  8 Pb 3.31
Sr (0.5000, 0.5000, 0.5000)  8 Pb 3.57, 2 Lu 3.83
Pb (0.0000, 0.0000, 0.2186)  4 Lu 3.31, 1 Pb 3.35, 4 Sr 3.57
Pb (0.0000, 0.0000, 0.7814)  4 Lu 3.31, 1 Pb 3.35, 4 Sr 3.57

Properties
**Energy relative to the elements**: -0.412 eV per atom
**Space group**: P4/mmm
**Uncorrected energy**: -3.82 eV/atom



Record 8
A geometry-optimized SrLuPb2 structure. Source: Alexandria via LeMat-Bulk, functional PBE.

a b c (Å): 4.4725 5.2509 5.2509
angles (deg): 90.00 90.00 90.00
Last column: nearest neighbours and their distance in Å.
Fractional positions:
Lu (0.5000, 0.0000, 0.0000)  8 Pb 3.45, 4 Sr 3.71
Pb (0.0000, 0.5000, 0.0000)  4 Sr 3.45, 4 Lu 3.45, 4 Pb 3.71
Pb (0.0000, 0.0000, 0.5000)  4 Sr 3.45, 4 Lu 3.45, 4 Pb 3.71
Sr (0.5000, 0.5000, 0.5000)  8 Pb 3.45, 4 Lu 3.71

Properties
**Energy relative to the elements**: -0.344 eV per atom
**Space group**: P4/mmm
**Uncorrected energy**: -3.75 eV/atom



Record 9
A geometry-optimized SrLuTlPb structure. Source: Alexandria via LeMat-Bulk, functional PBE.

a b c (Å): 5.5623 5.5623 5.5623
angles (deg): 60.00 60.00 60.00
Last column: nearest neighbours and their distance in Å.
Fractional positions:
Pb (0.5000, 0.5000, 0.5000)  4 Lu 3.41, 4 Sr 3.41
Lu (0.2500, 0.2500, 0.2500)  4 Tl 3.41, 4 Pb 3.41
Sr (0.7500, 0.7500, 0.7500)  4 Tl 3.41, 4 Pb 3.41
Tl (0.0000, 0.0000, 0.0000)  4 Sr 3.41, 4 Lu 3.41

Properties
**Energy relative to the elements**: -0.317 eV per atom
**Space group**: F-43m
**Uncorrected energy**: -3.39 eV/atom



Record 10
A geometry-optimized SrLuZnPb structure. Source: Alexandria via LeMat-Bulk, functional PBE.

a b c (Å): 5.4118 5.4118 5.4118
angles (deg): 60.00 60.00 60.00
Last column: nearest neighbours and their distance in Å.
Fractional positions:
Pb (0.5000, 0.5000, 0.5000)  4 Lu 3.31, 4 Sr 3.31
Sr (0.2500, 0.2500, 0.2500)  4 Pb 3.31, 4 Zn 3.31
Zn (0.0000, 0.0000, 0.0000)  4 Sr 3.31, 4 Lu 3.31
Lu (0.7500, 0.7500, 0.7500)  4 Pb 3.31, 4 Zn 3.31

Properties
**Energy relative to the elements**: -0.268 eV per atom
**Space group**: F-43m
**Uncorrected energy**: -3.06 eV/atom



Record 11
A geometry-optimized TbLuZnPb structure. Source: Alexandria via LeMat-Bulk, functional PBE.

a b c (Å): 5.2033 5.2033 5.2033
angles (deg): 60.00 60.00 60.00
Last column: nearest neighbours and their distance in Å.
Fractional positions:
Pb (0.5000, 0.5000, 0.5000)  4 Tb 3.19, 4 Lu 3.19
Tb (0.7500, 0.7500, 0.7500)  4 Pb 3.19, 4 Zn 3.19
Lu (0.2500, 0.2500, 0.2500)  4 Pb 3.19, 4 Zn 3.19
Zn (0.0000, 0.0000, 0.0000)  4 Tb 3.19, 4 Lu 3.19

Properties
**Energy relative to the elements**: -0.331 eV per atom
**Space group**: F-43m
**Uncorrected energy**: -3.86 eV/atom



Record 12
A geometry-optimized Lu2TcPb structure. Source: Alexandria via LeMat-Bulk, functional PBE.

a b c (Å): 3.5278 3.5278 7.3956
angles (deg): 90.00 90.00 90.00
Last column: nearest neighbours and their distance in Å.
Fractional positions:
Pb (0.5000, 0.5000, 0.5000)  8 Lu 3.29, 4 Pb 3.53
Lu (0.0000, 0.0000, 0.7905)  4 Tc 2.94, 1 Lu 3.10
Lu (0.0000, 0.0000, 0.2095)  4 Tc 2.94, 1 Lu 3.10
Tc (0.5000, 0.5000, 0.0000)  8 Lu 2.94

Properties
**Energy relative to the elements**: -0.281 eV per atom
**Space group**: P4/mmm
**Uncorrected energy**: -6.06 eV/atom



Please write out number 2 again, unchanged.
A geometry-optimized LuSnPb2 structure. Source: Alexandria via LeMat-Bulk, functional PBE.

a b c (Å): 4.1751 4.1751 6.4722
angles (deg): 90.00 90.00 90.00
Last column: nearest neighbours and their distance in Å.
Fractional positions:
Lu (0.5000, 0.5000, 0.5000)  2 Sn 3.24, 8 Pb 3.35
Pb (0.0000, 0.0000, 0.2539)  2 Pb 3.19-3.29, 4 Lu 3.35, 4 Sn 3.38
Pb (0.0000, 0.0000, 0.7461)  2 Pb 3.19-3.29, 4 Lu 3.35, 4 Sn 3.38
Sn (0.5000, 0.5000, 0.0000)  2 Lu 3.24, 8 Pb 3.38

Properties
**Energy relative to the elements**: -0.161 eV per atom
**Space group**: P4/mmm
**Uncorrected energy**: -4.15 eV/atom
**Offset from the most stable computed form**: 0.059 eV/atom



Which of these has the lowest energy relative to the elements? YLuSnPb